# 1
# CePr4NdSe8 (PBE-GGA, optimized geometry)
# - symmetry = No. 160
# - calculated total energy (eV per atom) = -5.837
# - formation energy (no corrections) (eV/atom) = -1.716
# - total magnetization (μB per formula unit) = 1.73
data_CePr4NdSe8
_cell_length_a 8.760
_cell_length_b 8.760
_cell_length_c 8.760
_cell_angle_alpha 60.00
_cell_angle_beta 60.00
_cell_angle_gamma 60.00
_space_group_name_H-M_alt 'P 1'
_space_group_IT_number 1
_space_group_name_Hall 'P 1'
loop_
_atom_site_label
_atom_site_fract_x
_atom_site_fract_y
_atom_site_fract_z
_atom_site_occupancy
Ce1 0.000 0.000 0.000 1
Pr1 0.000 0.000 0.501 1
Pr2 0.000 0.501 0.000 1
Pr3 0.376 0.376 0.376 1
Pr4 0.501 0.000 0.000 1
Nd1 0.625 0.625 0.625 1
Se1 0.229 0.758 0.758 1
Se2 0.241 0.241 0.775 1
Se3 0.241 0.775 0.241 1
Se4 0.243 0.243 0.243 1
Se5 0.757 0.757 0.757 1
Se6 0.758 0.229 0.758 1
Se7 0.758 0.758 0.229 1
Se8 0.775 0.241 0.241 1



# 2
# Tb7Dy5Y (PBE-GGA, optimized geometry)
# - symmetry = No. 44
# - calculated total energy (eV per atom) = -4.512
# - calculated formation energy (eV per formula unit) = 3.2
# - total magnetization (μB per formula unit) = 0.00
data_Tb7Dy5Y
_cell_length_a 8.698
_cell_length_b 8.698
_cell_length_c 8.698
_cell_angle_alpha 134.97
_cell_angle_beta 99.97
_cell_angle_gamma 96.90
_space_group_name_H-M_alt 'P 1'
_space_group_IT_number 1
_space_group_name_Hall 'P 1'
loop_
_atom_site_label
_atom_site_fract_x
_atom_site_fract_y
_atom_site_fract_z
_atom_site_occupancy
Tb1 0.000 0.000 0.000 1
Tb2 0.075 0.743 0.331 1
Tb3 0.304 0.304 0.000 1
Tb4 0.412 0.743 0.669 1
Tb5 0.495 0.995 0.500 1
Tb6 0.571 0.244 0.327 1
Tb7 0.918 0.244 0.673 1
Dy1 0.267 0.263 0.539 1
Dy2 0.267 0.729 0.004 1
Dy3 0.725 0.263 0.996 1
Dy4 0.725 0.729 0.461 1
Dy5 0.989 0.489 0.500 1
Y1 0.690 0.690 0.000 1



# 3
# BaCe2Th (PBE-GGA, optimized geometry)
# - symmetry = No. 166
# - calculated total energy (eV per atom) = -5.016
# - calculated formation energy (eV per formula unit) = 1.1
# - total magnetization (μB per formula unit) = 1.86
data_BaCe2Th
_cell_length_a 12.830
_cell_length_b 12.830
_cell_length_c 12.830
_cell_angle_alpha 15.94
_cell_angle_beta 15.94
_cell_angle_gamma 15.94
_space_group_name_H-M_alt 'P 1'
_space_group_IT_number 1
_space_group_name_Hall 'P 1'
loop_
_atom_site_label
_atom_site_fract_x
_atom_site_fract_y
_atom_site_fract_z
_atom_site_occupancy
Ba1 0.000 0.000 0.000 1
Ce1 0.094 0.094 0.094 1
Ce2 0.906 0.906 0.906 1
Th1 0.500 0.500 0.500 1



# 4
# SbHPt2 (PBE-GGA, optimized geometry)
# - symmetry = No. 166
# - calculated total energy (eV per atom) = -4.893
# - total magnetization (μB per formula unit) = 0.00
data_SbHPt2
_cell_length_a 5.236
_cell_length_b 5.236
_cell_length_c 5.236
_cell_angle_alpha 51.11
_cell_angle_beta 51.11
_cell_angle_gamma 51.11
_space_group_name_H-M_alt 'P 1'
_space_group_IT_number 1
_space_group_name_Hall 'P 1'
loop_
_atom_site_label
_atom_site_fract_x
_atom_site_fract_y
_atom_site_fract_z
_atom_site_occupancy
Sb1 0.000 0.000 0.000 1
H1 0.500 0.500 0.500 1
Pt1 0.375 0.375 0.375 1
Pt2 0.625 0.625 0.625 1



# 5
# Li2Nd3Se2S4 (PBE-GGA, optimized geometry)
# - symmetry = No. 139
# - calculated total energy (eV per atom) = -5.351
# - formation energy (no corrections) (eV/atom) = -1.568
# - total magnetization (μB per formula unit) = 0.00
data_Li2Nd3Se2S4
_cell_length_a 12.031
_cell_length_b 12.031
_cell_length_c 12.031
_cell_angle_alpha 158.15
_cell_angle_beta 158.15
_cell_angle_gamma 31.09
_space_group_name_H-M_alt 'P 1'
_space_group_IT_number 1
_space_group_name_Hall 'P 1'
loop_
_atom_site_label
_atom_site_fract_x
_atom_site_fract_y
_atom_site_fract_z
_atom_site_occupancy
Li1 0.100 0.100 0.000 1
Li2 0.900 0.900 0.000 1
Nd1 0.334 0.334 0.000 1
Nd2 0.500 0.500 0.000 1
Nd3 0.666 0.666 0.000 1
Se1 0.206 0.206 0.000 1
Se2 0.794 0.794 0.000 1
S1 0.079 0.579 0.500 1
S2 0.421 0.921 0.500 1
S3 0.579 0.079 0.500 1
S4 0.921 0.421 0.500 1



# 6
# TbCe2Gd (PBE-GGA, optimized geometry)
# - symmetry = No. 166
# - calculated total energy (eV per atom) = -7.411
# - calculated formation energy (eV per formula unit) = 0.9
# - total magnetization (μB per formula unit) = 5.80
data_TbCe2Gd
_cell_length_a 12.392
_cell_length_b 12.392
_cell_length_c 12.392
_cell_angle_alpha 15.68
_cell_angle_beta 15.68
_cell_angle_gamma 15.68
_space_group_name_H-M_alt 'P 1'
_space_group_IT_number 1
_space_group_name_Hall 'P 1'
loop_
_atom_site_label
_atom_site_fract_x
_atom_site_fract_y
_atom_site_fract_z
_atom_site_occupancy
Tb1 0.000 0.000 0.000 1
Ce1 0.086 0.086 0.086 1
Ce2 0.914 0.914 0.914 1
Gd1 0.500 0.500 0.500 1



# 7
# PrHoTmTh (PBE-GGA, optimized geometry)
# - symmetry = No. 160
# - calculated total energy (eV per atom) = -5.295
# - calculated formation energy (eV per formula unit) = 0.1
# - total magnetization (μB per formula unit) = 0.00
data_PrHoTmTh
_cell_length_a 11.736
_cell_length_b 11.736
_cell_length_c 11.736
_cell_angle_alpha 17.60
_cell_angle_beta 17.60
_cell_angle_gamma 17.60
_space_group_name_H-M_alt 'P 1'
_space_group_IT_number 1
_space_group_name_Hall 'P 1'
loop_
_atom_site_label
_atom_site_fract_x
_atom_site_fract_y
_atom_site_fract_z
_atom_site_occupancy
Pr1 0.000 0.000 0.000 1
Ho1 0.247 0.247 0.247 1
Tm1 0.420 0.420 0.420 1
Th1 0.833 0.833 0.833 1



# 8
# Nd5Er4Tm2 (PBE-GGA, optimized geometry)
# - symmetry = No. 12
# - calculated total energy (eV per atom) = -4.562
# - calculated formation energy (eV per formula unit) = 0.9
# - total magnetization (μB per formula unit) = 0.00
data_Nd5Er4Tm2
_cell_length_a 8.967
_cell_length_b 8.967
_cell_length_c 11.600
_cell_angle_alpha 93.89
_cell_angle_beta 93.89
_cell_angle_gamma 22.78
_space_group_name_H-M_alt 'P 1'
_space_group_IT_number 1
_space_group_name_Hall 'P 1'
loop_
_atom_site_label
_atom_site_fract_x
_atom_site_fract_y
_atom_site_fract_z
_atom_site_occupancy
Nd1 0.000 0.000 0.000 1
Nd2 0.323 0.323 0.929 1
Nd3 0.402 0.402 0.465 1
Nd4 0.598 0.598 0.535 1
Nd5 0.677 0.677 0.071 1
Er1 0.141 0.141 0.794 1
Er2 0.464 0.464 0.739 1
Er3 0.536 0.536 0.261 1
Er4 0.859 0.859 0.206 1
Tm1 0.216 0.216 0.351 1
Tm2 0.784 0.784 0.649 1



# 9
# NaCd2Ag8 (PBE-GGA, optimized geometry)
# - symmetry = No. 12
# - calculated total energy (eV per atom) = -2.322
# - calculated formation energy (eV per formula unit) = 0.4
# - total magnetization (μB per formula unit) = 0.00
data_NaCd2Ag8
_cell_length_a 8.422
_cell_length_b 8.422
_cell_length_c 5.171
_cell_angle_alpha 107.53
_cell_angle_beta 107.53
_cell_angle_gamma 125.67
_space_group_name_H-M_alt 'P 1'
_space_group_IT_number 1
_space_group_name_Hall 'P 1'
loop_
_atom_site_label
_atom_site_fract_x
_atom_site_fract_y
_atom_site_fract_z
_atom_site_occupancy
Na1 0.000 0.000 0.000 1
Cd1 0.321 0.679 0.500 1
Cd2 0.679 0.321 0.500 1
Ag1 0.099 0.380 0.744 1
Ag2 0.195 0.805 0.000 1
Ag3 0.380 0.099 0.744 1
Ag4 0.496 0.496 0.745 1
Ag5 0.504 0.504 0.255 1
Ag6 0.620 0.901 0.256 1
Ag7 0.805 0.195 0.000 1
Ag8 0.901 0.620 0.256 1



# 10
# ZnSbTe2Pd (PBE-GGA, optimized geometry)
# - symmetry = No. 123
# - calculated total energy (eV per atom) = -2.964
# - formation energy (no corrections) (eV/atom) = 0.411
# - total magnetization (μB per formula unit) = 0.00
data_ZnSbTe2Pd
_cell_length_a 5.413
_cell_length_b 5.413
_cell_length_c 5.114
_cell_angle_alpha 90.00
_cell_angle_beta 90.00
_cell_angle_gamma 90.00
_space_group_name_H-M_alt 'P 1'
_space_group_IT_number 1
_space_group_name_Hall 'P 1'
loop_
_atom_site_label
_atom_site_fract_x
_atom_site_fract_y
_atom_site_fract_z
_atom_site_occupancy
Zn1 0.000 0.000 0.000 1
Sb1 0.500 0.500 0.000 1
Te1 0.000 0.500 0.500 1
Te2 0.500 0.000 0.500 1
Pd1 0.500 0.500 0.500 1



# 11
# Cs2BaNdI6 (PBE-GGA, optimized geometry)
# - symmetry = No. 59
# - calculated total energy (eV per atom) = -3.228
# - formation energy (no corrections) (eV/atom) = -1.458
# - total magnetization (μB per formula unit) = 0.99
data_Cs2BaNdI6
_cell_length_a 8.954
_cell_length_b 13.069
_cell_length_c 9.599
_cell_angle_alpha 90.00
_cell_angle_beta 90.00
_cell_angle_gamma 90.00
_space_group_name_H-M_alt 'P 1'
_space_group_IT_number 1
_space_group_name_Hall 'P 1'
loop_
_atom_site_label
_atom_site_fract_x
_atom_site_fract_y
_atom_site_fract_z
_atom_site_occupancy
Cs1 0.250 0.042 0.198 1
Cs2 0.250 0.458 0.198 1
Cs3 0.750 0.542 0.802 1
Cs4 0.750 0.958 0.802 1
Ba1 0.250 0.250 0.717 1
Ba2 0.750 0.750 0.283 1
Nd1 0.250 0.750 0.779 1
Nd2 0.750 0.250 0.221 1
I1 0.006 0.250 0.445 1
I2 0.008 0.750 0.019 1
I3 0.250 0.508 0.777 1
I4 0.250 0.992 0.777 1
I5 0.492 0.750 0.019 1
I6 0.494 0.250 0.445 1
I7 0.506 0.750 0.555 1
I8 0.508 0.250 0.981 1
I9 0.750 0.008 0.223 1
I10 0.750 0.492 0.223 1
I11 0.992 0.250 0.981 1
I12 0.994 0.750 0.555 1